(1)
# CdSb2

A relaxed CdSb2 crystal (GGA-PBE, Alexandria).

## Properties
* ΔE_f (raw): 91 meV per atom
* total magnetic moment: 0.00 μB per formula unit
* symmetry: C2/m (12)

a = 13.5277 Å, b = 3.1971 Å, c = 8.6070 Å
α = 90.00°, β = 113.15°, γ = 90.00°
Last column: nearest neighbours and their distance in Å.
Fractional coordinates of all 12 atoms:
Cd 0.0866 0.0000 0.3585  5 Sb 2.99-3.09, 2 Cd 3.20
Cd 0.4134 0.5000 0.6415  5 Sb 2.99-3.09, 2 Cd 3.20
Cd 0.5866 0.5000 0.3585  5 Sb 2.99-3.09, 2 Cd 3.20
Cd 0.9134 0.0000 0.6415  5 Sb 2.99-3.09, 2 Cd 3.20
Sb 0.0877 0.5000 0.9133  4 Sb 2.96-3.26, 2 Cd 3.04
Sb 0.2052 0.5000 0.6863  3 Sb 2.96-3.20, 3 Cd 2.99-3.09
Sb 0.2948 0.0000 0.3137  3 Sb 2.96-3.20, 3 Cd 2.99-3.09
Sb 0.4123 0.0000 0.0867  4 Sb 2.96-3.26, 2 Cd 3.04
Sb 0.5877 0.0000 0.9133  4 Sb 2.96-3.26, 2 Cd 3.04
Sb 0.7052 0.0000 0.6863  3 Sb 2.96-3.20, 3 Cd 2.99-3.09
Sb 0.7948 0.5000 0.3137  3 Sb 2.96-3.20, 3 Cd 2.99-3.09
Sb 0.9123 0.5000 0.0867  4 Sb 2.96-3.26, 2 Cd 3.04



(2)
# Ce3Pb2Au2

A relaxed Ce3Pb2Au2 crystal (GGA-PBE, Alexandria).

## Properties
* formation energy: -0.567 eV/atom
* total magnetic moment: 3.25 μB per formula unit
* symmetry: Cmmm (65)

a = 4.6888 Å, b = 22.7958 Å, c = 3.5021 Å
α = 90.00°, β = 90.00°, γ = 90.00°
Last column: nearest neighbours and their distance in Å.
Fractional coordinates of all 14 atoms:
Ce 0.0000 0.0000 0.0000  8 Pb 3.45, 4 Ce 3.50-3.80
Ce 0.0000 0.1669 0.0000  6 Au 3.12-3.21
Ce 0.0000 0.8331 0.0000  6 Au 3.12-3.21
Ce 0.5000 0.3331 0.0000  6 Au 3.12-3.21
Ce 0.5000 0.5000 0.0000  8 Pb 3.45, 4 Ce 3.50-3.80
Ce 0.5000 0.6669 0.0000  6 Au 3.12-3.21
Pb 0.0000 0.4194 0.5000  1 Au 3.06
Pb 0.0000 0.5806 0.5000  1 Au 3.06
Pb 0.5000 0.0806 0.5000  1 Au 3.06
Pb 0.5000 0.9194 0.5000  1 Au 3.06
Au 0.0000 0.2851 0.5000  2 Au 2.84, 1 Pb 3.06, 4 Ce 3.12
Au 0.0000 0.7149 0.5000  2 Au 2.84, 1 Pb 3.06, 4 Ce 3.12
Au 0.5000 0.2149 0.5000  2 Au 2.84, 1 Pb 3.06, 4 Ce 3.12
Au 0.5000 0.7851 0.5000  2 Au 2.84, 1 Pb 3.06, 4 Ce 3.12



(3)
# SrBePt2

A relaxed SrBePt2 crystal (GGA-PBE, Alexandria).

## Properties
* formation energy: -0.553 eV/atom
* total magnetic moment: 0.00 μB per formula unit
* symmetry: Cm (8)

a = 7.1151 Å, b = 4.0994 Å, c = 6.1100 Å
α = 90.00°, β = 112.67°, γ = 90.00°
Last column: nearest neighbours and their distance in Å.
Fractional coordinates of all 8 atoms:
Sr 0.0000 0.0000 0.0000  4 Be 3.12-3.46, 7 Pt 3.18-3.35
Sr 0.5000 0.5000 0.0000  4 Be 3.12-3.46, 7 Pt 3.18-3.35
Be 0.3136 0.5000 0.4462  6 Pt 2.40-2.52
Be 0.8136 0.0000 0.4462  6 Pt 2.40-2.52
Pt 0.1964 0.0000 0.5947  3 Be 2.51-2.52, 3 Pt 2.67
Pt 0.4576 0.0000 0.3773  3 Be 2.40, 3 Pt 2.67
Pt 0.6964 0.5000 0.5947  3 Be 2.51-2.52, 3 Pt 2.67
Pt 0.9576 0.5000 0.3773  3 Be 2.40, 3 Pt 2.67



(4)
# NaBiH2

A relaxed NaBiH2 crystal (GGA-PBE, Alexandria).

## Properties
* total magnetic moment: 0.00 μB per formula unit
* E above lowest polymorph: 590 meV/atom
* symmetry: Fm-3m (225)

a = 6.2283 Å, b = 6.2283 Å, c = 6.2283 Å
α = 90.00°, β = 90.00°, γ = 90.00°
Last column: nearest neighbours and their distance in Å.
Fractional coordinates of all 16 atoms:
Na 0.0000 0.0000 0.0000  8 H 2.70
Na 0.0000 0.5000 0.5000  8 H 2.70
Na 0.5000 0.0000 0.5000  8 H 2.70
Na 0.5000 0.5000 0.0000  8 H 2.70
Bi 0.0000 0.0000 0.5000  8 H 2.70
Bi 0.0000 0.5000 0.0000  8 H 2.70
Bi 0.5000 0.0000 0.0000  8 H 2.70
Bi 0.5000 0.5000 0.5000  8 H 2.70
H 0.2500 0.2500 0.2500  4 Bi 2.70, 4 Na 2.70
H 0.2500 0.2500 0.7500  4 Na 2.70, 4 Bi 2.70
H 0.2500 0.7500 0.2500  4 Na 2.70, 4 Bi 2.70
H 0.2500 0.7500 0.7500  4 Bi 2.70, 4 Na 2.70
H 0.7500 0.2500 0.2500  4 Na 2.70, 4 Bi 2.70
H 0.7500 0.2500 0.7500  4 Bi 2.70, 4 Na 2.70
H 0.7500 0.7500 0.2500  4 Bi 2.70, 4 Na 2.70
H 0.7500 0.7500 0.7500  4 Na 2.70, 4 Bi 2.70



(5)
# KMg2Si2

A relaxed KMg2Si2 crystal (GGA-PBE, Alexandria).

## Properties
* ΔE_f (raw): 61 meV per atom
* total magnetic moment: 0.00 μB per formula unit
* E above lowest polymorph: 123 meV/atom
* symmetry: P4/mbm (127)

a = 8.4687 Å, b = 8.4687 Å, c = 2.9692 Å
α = 90.00°, β = 90.00°, γ = 90.00°
Last column: nearest neighbours and their distance in Å.
Fractional coordinates of all 10 atoms:
K 0.0000 0.0000 0.0000  2 K 2.97, 4 Mg 3.32
K 0.5000 0.5000 0.0000  2 K 2.97, 4 Mg 3.32
Mg 0.1303 0.3697 0.0000  6 Si 2.88-2.92, 3 Mg 2.97-3.12
Mg 0.3697 0.8697 0.0000  6 Si 2.88-2.92, 3 Mg 2.97-3.12
Mg 0.6303 0.1303 0.0000  6 Si 2.88-2.92, 3 Mg 2.97-3.12
Mg 0.8697 0.6303 0.0000  6 Si 2.88-2.92, 3 Mg 2.97-3.12
Si 0.1594 0.6594 0.5000  6 Mg 2.88-2.92, 2 Si 2.97
Si 0.3406 0.1594 0.5000  6 Mg 2.88-2.92, 2 Si 2.97
Si 0.6594 0.8406 0.5000  6 Mg 2.88-2.92, 2 Si 2.97
Si 0.8406 0.3406 0.5000  6 Mg 2.88-2.92, 2 Si 2.97



(6)
# Pu2Mg2Rh15

A relaxed Pu2Mg2Rh15 crystal (GGA-PBE, Alexandria).

## Properties
* formation energy: -0.192 eV/atom
* total magnetic moment: 6.69 μB per formula unit
* symmetry: R-3m (166)

a = 6.8265 Å, b = 6.8265 Å, c = 6.8265 Å
α = 82.40°, β = 82.40°, γ = 82.40°
Last column: nearest neighbours and their distance in Å.
Fractional coordinates of all 19 atoms:
Pu 0.1477 0.1477 0.1477  15 Rh 3.11-3.47, 1 Mg 3.30
Pu 0.8523 0.8523 0.8523  15 Rh 3.11-3.47, 1 Mg 3.30
Mg 0.3960 0.3960 0.3960  6 Rh 2.73-2.82, 1 Mg 2.77
Mg 0.6040 0.6040 0.6040  6 Rh 2.73-2.82, 1 Mg 2.77
Rh 0.0000 0.5000 0.5000  8 Rh 2.62, 2 Mg 2.73
Rh 0.1497 0.1497 0.6561  8 Rh 2.59-2.79, 1 Mg 2.82
Rh 0.1497 0.6561 0.1497  8 Rh 2.59-2.79, 1 Mg 2.82
Rh 0.1952 0.5000 0.8048  8 Rh 2.62-2.79
Rh 0.1952 0.8048 0.5000  8 Rh 2.62-2.79
Rh 0.3439 0.8503 0.8503  8 Rh 2.59-2.79, 1 Mg 2.82
Rh 0.5000 0.0000 0.5000  8 Rh 2.62, 2 Mg 2.73
Rh 0.5000 0.1952 0.8048  8 Rh 2.62-2.79
Rh 0.5000 0.5000 0.0000  8 Rh 2.62, 2 Mg 2.73
Rh 0.5000 0.8048 0.1952  8 Rh 2.62-2.79
Rh 0.6561 0.1497 0.1497  8 Rh 2.59-2.79, 1 Mg 2.82
Rh 0.8048 0.1952 0.5000  8 Rh 2.62-2.79
Rh 0.8048 0.5000 0.1952  8 Rh 2.62-2.79
Rh 0.8503 0.3439 0.8503  8 Rh 2.59-2.79, 1 Mg 2.82
Rh 0.8503 0.8503 0.3439  8 Rh 2.59-2.79, 1 Mg 2.82



(7)
# Sr2Hg4Pb5

A relaxed Sr2Hg4Pb5 crystal (GGA-PBE, Alexandria).

## Properties
* formation energy: -0.220 eV/atom
* total magnetic moment: 0.00 μB per formula unit
* symmetry: C2/m (12)

a = 8.0145 Å, b = 8.0145 Å, c = 9.4798 Å
α = 125.94°, β = 125.94°, γ = 47.29°
Last column: nearest neighbours and their distance in Å.
Fractional coordinates of all 11 atoms:
Sr 0.1949 0.1949 0.1956  6 Hg 3.28-3.61
Sr 0.8051 0.8051 0.8044  6 Hg 3.28-3.61
Hg 0.2492 0.2492 0.5892  1 Hg 3.04, 3 Pb 3.22-3.26, 1 Sr 3.28
Hg 0.2495 0.2495 0.9104  1 Hg 3.04, 3 Pb 3.20-3.25, 1 Sr 3.28
Hg 0.7505 0.7505 0.0896  1 Hg 3.04, 3 Pb 3.20-3.25, 1 Sr 3.28
Hg 0.7508 0.7508 0.4108  1 Hg 3.04, 3 Pb 3.22-3.26, 1 Sr 3.28
Pb 0.2532 0.7460 0.3228  4 Pb 3.17-3.45, 2 Hg 3.25-3.26
Pb 0.2540 0.7468 0.6772  4 Pb 3.17-3.45, 2 Hg 3.25-3.26
Pb 0.5000 0.5000 0.0000  4 Hg 3.20-3.22, 4 Pb 3.45
Pb 0.7460 0.2532 0.3228  4 Pb 3.17-3.45, 2 Hg 3.25-3.26
Pb 0.7468 0.2540 0.6772  4 Pb 3.17-3.45, 2 Hg 3.25-3.26



(8)
# Ca2ReP

A relaxed Ca2ReP crystal (GGA-PBE, Alexandria).

## Properties
* formation energy: 0.415 eV/atom
* total magnetic moment: 0.57 μB per formula unit
* symmetry: R-3m (166)

a = 3.2316 Å, b = 3.2316 Å, c = 27.5688 Å
α = 90.00°, β = 90.00°, γ = 120.00°
Last column: nearest neighbours and their distance in Å.
Fractional coordinates of all 12 atoms:
Ca 0.0000 0.0000 0.2456  3 P 2.87, 3 Re 3.05
Ca 0.0000 0.0000 0.7544  3 P 2.87, 3 Re 3.05
Ca 0.3333 0.6667 0.4211  3 P 2.87, 3 Re 3.05
Ca 0.3333 0.6667 0.9123  3 P 2.87, 3 Re 3.05
Ca 0.6667 0.3333 0.0877  3 P 2.87, 3 Re 3.05
Ca 0.6667 0.3333 0.5789  3 P 2.87, 3 Re 3.05
Re 0.0000 0.0000 0.0000  6 Ca 3.05, 6 Re 3.23
Re 0.3333 0.6667 0.6667  6 Ca 3.05, 6 Re 3.23
Re 0.6667 0.3333 0.3333  6 Ca 3.05, 6 Re 3.23
P 0.0000 0.0000 0.5000  6 Ca 2.87
P 0.3333 0.6667 0.1667  6 Ca 2.87
P 0.6667 0.3333 0.8333  6 Ca 2.87



(9)
# ErCuHg

A relaxed ErCuHg crystal (GGA-PBE, Alexandria).

## Properties
* formation energy: -0.326 eV/atom
* total magnetic moment: 0.00 μB per formula unit
* symmetry: P-1 (2)

a = 4.3623 Å, b = 5.4366 Å, c = 6.2026 Å
α = 73.27°, β = 69.50°, γ = 66.39°
Last column: nearest neighbours and their distance in Å.
Fractional coordinates of all 6 atoms:
Er 0.0583 0.1942 0.1898  5 Cu 2.94-3.06, 3 Hg 3.18
Er 0.9417 0.8058 0.8102  5 Cu 2.94-3.06, 3 Hg 3.18
Cu 0.3608 0.6095 0.1689  1 Cu 2.40, 2 Hg 2.68-2.69
Cu 0.6392 0.3905 0.8311  1 Cu 2.40, 2 Hg 2.68-2.69
Hg 0.3200 0.2502 0.6095  3 Cu 2.68-2.86, 1 Hg 2.99
Hg 0.6800 0.7498 0.3905  3 Cu 2.68-2.86, 1 Hg 2.99



(10)
# Tl3Br

A relaxed Tl3Br crystal (GGA-PBE, Alexandria).

## Properties
* ΔE_f (raw): -286 meV per atom
* total magnetic moment: 0.00 μB per formula unit
* E above lowest polymorph: 14 meV/atom
* symmetry: I4/mmm (139)

a = 4.7664 Å, b = 4.7664 Å, c = 11.4642 Å
α = 90.00°, β = 90.00°, γ = 90.00°
Last column: nearest neighbours and their distance in Å.
Fractional coordinates of all 8 atoms:
Tl 0.0000 0.0000 0.0000  4 Br 3.37, 8 Tl 3.73
Tl 0.0000 0.5000 0.2500  8 Tl 3.37-3.73, 4 Br 3.73
Tl 0.0000 0.5000 0.7500  8 Tl 3.37-3.73, 4 Br 3.73
Tl 0.5000 0.0000 0.2500  8 Tl 3.37-3.73, 4 Br 3.73
Tl 0.5000 0.0000 0.7500  8 Tl 3.37-3.73, 4 Br 3.73
Tl 0.5000 0.5000 0.5000  4 Br 3.37, 8 Tl 3.73
Br 0.0000 0.0000 0.5000  12 Tl 3.37-3.73
Br 0.5000 0.5000 0.0000  12 Tl 3.37-3.73